1.
The following is a DFT calculation (PBE-GGA) of LaPmPrSe3 after structural relaxation.

Cell and atoms, written as POSCAR:
```
LaPmPrSe3
1.0
4.1274 0.0000 0.0000
0.0000 7.3991 -0.1902
0.0000 -2.1577 10.8818
La Pm Pr Se
2 2 2 6
Direct
0.2500 0.3450 0.3022
0.7500 0.6550 0.6978
0.2500 0.7673 0.0575
0.7500 0.2327 0.9425
0.2500 0.1217 0.6297
0.7500 0.8783 0.3703
0.7500 0.0568 0.1562
0.2500 0.9432 0.8438
0.2500 0.7119 0.5054
0.7500 0.2881 0.4946
0.7500 0.5448 0.1617
0.2500 0.4552 0.8383
```

Space group ... P2_1/m (11)
DOS(E_F) ... 7.1 states/eV/cell
Uncorrected formation energy ... -1.823 eV per atom
Spin magnetization ... 0.0 μB per formula unit
Crystal system ... monoclinic
Raw total energy ... -5.975 eV per atom
Theoretical density ... 6.65 g/cm³



2.
The following is a DFT calculation (PBE-GGA) of La3Pm3PrSe8 after structural relaxation.

Cell and atoms, written as POSCAR:
```
La3Pm3PrSe8
1.0
-5.4464 2.4465 5.9845
2.7855 -7.9797 -0.1735
5.3016 6.2805 2.2575
La Pm Pr Se
3 3 1 8
Direct
0.0000 0.0000 0.0000
0.0000 0.5000 0.0000
0.5000 0.5000 0.0000
0.5000 0.0000 0.5000
0.5000 0.5000 0.5000
0.0000 0.5000 0.5000
0.0000 0.0000 0.5000
0.2524 0.5048 0.2572
0.7476 0.4952 0.7428
0.7474 0.4949 0.2525
0.2526 0.5051 0.7475
0.7475 0.0050 0.2525
0.2525 0.9950 0.7475
0.2576 0.0050 0.2525
0.7424 0.9950 0.7475
```

Space group ... R-3m (166)
DOS(E_F) ... 8.0 states/eV/cell
Uncorrected formation energy ... -1.936 eV per atom
Spin magnetization ... 0.0 μB per formula unit
Crystal system ... trigonal
Raw total energy ... -6.049 eV per atom
Theoretical density ... 6.24 g/cm³



3.
The following is a DFT calculation (PBE-GGA) of La2PmPrSm4 after structural relaxation.

Cell and atoms, written as POSCAR:
```
La2PmPrSm4
1.0
3.6852 0.0000 0.0000
0.0000 6.3498 -0.2400
0.0000 2.6225 11.8722
La Pm Pr Sm
2 1 1 4
Direct
0.0000 0.0000 0.0000
0.5000 0.0000 0.5000
0.0000 0.5000 0.5000
0.5000 0.5000 0.0000
0.0000 0.7498 0.7497
0.0000 0.2502 0.2503
0.5000 0.7496 0.2512
0.5000 0.2504 0.7488
```

Space group ... P2/m (10)
DOS(E_F) ... 13.1 states/eV/cell
Energy of formation from the pure elements ... 16 meV/atom
Spin magnetization ... 0.0 μB per formula unit
Crystal system ... monoclinic
Raw total energy ... -4.767 eV per atom
Theoretical density ... 6.91 g/cm³



4.
The following is a DFT calculation (PBE-GGA) of La2PmPr2Sm2 after structural relaxation.

Cell and atoms, written as POSCAR:
```
La2PmPr2Sm2
1.0
5.2214 0.0000 0.0000
-2.6107 5.8297 0.2864
0.0000 -1.5639 8.1165
La Pm Pr Sm
2 1 2 2
Direct
0.1423 0.2845 0.4270
0.8577 0.7155 0.5730
0.0000 0.0000 0.0000
0.7150 0.4299 0.1420
0.2850 0.5701 0.8580
0.5707 0.1415 0.7152
0.4293 0.8585 0.2848
```

Space group ... C2/m (12)
DOS(E_F) ... 12.7 states/eV/cell
Energy of formation from the pure elements ... 19 meV/atom
Spin magnetization ... 0.0 μB per formula unit
Crystal system ... monoclinic
Raw total energy ... -4.782 eV per atom
Theoretical density ... 6.69 g/cm³



5.
The following is a DFT calculation (PBE-GGA) of LaPm2Pr2Sm2 after structural relaxation.

Cell and atoms, written as POSCAR:
```
LaPm2Pr2Sm2
1.0
3.6026 0.0000 0.0000
-1.8013 5.7329 1.8181
0.0000 0.4008 12.1824
La Pm Pr Sm
1 2 2 2
Direct
0.0000 0.0000 0.5000
0.4457 0.8914 0.7717
0.5543 0.1086 0.2283
0.6667 0.3333 0.9191
0.3333 0.6667 0.0809
0.7773 0.5547 0.3605
0.2227 0.4453 0.6395
```

Space group ... C2/m (12)
DOS(E_F) ... 12.4 states/eV/cell
Energy of formation from the pure elements ... 84 meV/atom
Spin magnetization ... 0.0 μB per formula unit
Crystal system ... monoclinic
Raw total energy ... -4.692 eV per atom
Theoretical density ... 6.75 g/cm³



6.
The following is a DFT calculation (PBE-GGA) of LaPm6Pr2Sm3 after structural relaxation.

Cell and atoms, written as POSCAR:
```
LaPm6Pr2Sm3
1.0
-2.3759 4.1390 4.2010
-1.0168 -6.2309 0.7526
11.1560 -0.1458 4.8352
La Pm Pr Sm
1 6 2 3
Direct
0.0000 0.0000 0.0000
0.9157 0.5822 0.7472
0.7508 0.7508 0.2529
0.0843 0.4178 0.2528
0.5822 0.9157 0.7472
0.2492 0.2492 0.7471
0.4178 0.0843 0.2528
0.3335 0.6665 0.0000
0.6665 0.3335 0.0000
0.1669 0.8331 0.5000
0.8331 0.1669 0.5000
0.5000 0.5000 0.5000
```

Space group ... C2/m (12)
DOS(E_F) ... 19.2 states/eV/cell
Energy of formation from the pure elements ... 15 meV/atom
Spin magnetization ... 0.0 μB per formula unit
Crystal system ... monoclinic
Raw total energy ... -4.747 eV per atom
Theoretical density ... 6.90 g/cm³



7.
The following is a DFT calculation (PBE-GGA) of La2Pm6Pr3Sm after structural relaxation.

Cell and atoms, written as POSCAR:
```
La2Pm6Pr3Sm
1.0
-0.0503 -6.0726 -1.9886
4.9941 3.7584 -1.3291
3.6159 -2.6160 11.3395
La Pm Pr Sm
2 6 3 1
Direct
0.3333 0.6667 0.0000
0.6667 0.3333 0.0000
0.9166 0.5840 0.7498
0.7508 0.7508 0.2502
0.0834 0.4160 0.2502
0.5840 0.9166 0.7498
0.2492 0.2492 0.7498
0.4160 0.0834 0.2502
0.1665 0.8335 0.5000
0.8335 0.1665 0.5000
0.5000 0.5000 0.5000
0.0000 0.0000 0.0000
```

Space group ... C2/m (12)
DOS(E_F) ... 19.3 states/eV/cell
Energy of formation from the pure elements ... 14 meV/atom
Spin magnetization ... 0.0 μB per formula unit
Crystal system ... monoclinic
Raw total energy ... -4.771 eV per atom
Theoretical density ... 6.74 g/cm³



8.
The following is a DFT calculation (PBE-GGA) of LaPm6PrSm2 after structural relaxation.

Cell and atoms, written as POSCAR:
```
LaPm6PrSm2
1.0
-3.5995 -9.2551 -0.5984
8.4319 -2.6564 1.7198
-5.2237 2.3155 6.9615
La Pm Pr Sm
2 12 2 4
Direct
0.2500 0.4046 0.5954
0.7500 0.5954 0.4046
0.0559 0.1157 0.7483
0.4441 0.2517 0.8843
0.9441 0.8843 0.2517
0.5559 0.7483 0.1157
0.3193 0.9746 0.4297
0.1807 0.5703 0.0254
0.6807 0.0254 0.5703
0.8193 0.4297 0.9746
0.1215 0.7041 0.4941
0.3785 0.5059 0.2959
0.8785 0.2959 0.5059
0.6215 0.4941 0.7041
0.2500 0.9763 0.0237
0.7500 0.0237 0.9763
0.4566 0.8084 0.7079
0.0434 0.2921 0.1916
0.5434 0.1916 0.2921
0.9566 0.7079 0.8084
```

Space group ... C2/c (15)
DOS(E_F) ... 31.4 states/eV/cell
Energy of formation from the pure elements ... 115 meV/atom
Spin magnetization ... 0.0 μB per formula unit
Crystal system ... monoclinic
Raw total energy ... -4.650 eV per atom
Theoretical density ... 6.84 g/cm³